{"formula": "CdInIO2", "functional": "GGA-PBE", "state": "optimized geometry", "dos_ef_per_ev_cell": 4.09, "volume_a3_per_cell": 122.7, "space_group": "P4/mmm, No. 123", "crystal_system": "tetragonal", "de_polymorph_mev_per_atom": 356.0, "formation_energy_uncorrected_mev_per_atom": 5, "e_tot_ev_per_atom": -3.019, "magmom_total_mub_per_cell": 1.554, "lattice_angstrom": [[4.4196, 0.0000, 0.0000], [0.0000, 4.4196, 0.0000], [0.0000, 0.0000, 6.2819]], "species": ["Cd", "In", "I", "O", "O"], "fractional_positions": [[0.0000, 0.0000, 0.0000], [0.5000, 0.5000, 0.5000], [0.0000, 0.0000, 0.5000], [0.0000, 0.5000, 0.0000], [0.5000, 0.0000, 0.0000]]}